# 1
DFT (PBE-GGA) results for a relaxed structure of LaMn2Os.

Lattice parameters (Å, degrees): 4.1078 4.1078 4.4261 90.00 90.00 90.00
With the nearest neighbours (Å) after each atom.
Space group P4/mmm (No. 123)
Asymmetric unit:
1 La 0.0000 0.0000 0.0000 x1  4 Os 2.90, 8 Mn 3.02
2 Mn 0.0000 0.5000 0.5000 x2  4 Mn 2.90, 4 Os 3.02, 4 La 3.02
3 Os 0.5000 0.5000 0.0000 x1  4 La 2.90, 8 Mn 3.02

Properties
As for the calculated formation energy: 497.4 meV/atom. For the distance to the lowest polymorph of the same formula, the calculation gives 353.7 meV per atom.

=====

# 2
DFT (PBE-GGA) results for a relaxed structure of LaMn2Os.

Lattice parameters (Å, degrees): 2.9249 2.9249 28.3183 90.00 90.00 120.00
With the nearest neighbours (Å) after each atom.
Space group R3m (No. 160, hexagonal axes)
Asymmetric unit:
1 La 0.0000 0.0000 0.0000 x3  6 La 2.92, 3 Os 3.24
2 Mn 0.0000 0.0000 0.5004 x3  3 Mn 2.54, 3 Os 2.57
3 Mn 0.0000 0.0000 0.7666 x3  3 Mn 2.54
4 Os 0.0000 0.0000 0.2356 x3  3 Mn 2.57

Properties
As for the calculated formation energy: 650.3 meV/atom. For the distance to the lowest polymorph of the same formula, the calculation gives 506.5 meV per atom.

=====

# 3
DFT (PBE-GGA) results for a relaxed structure of LaMn2Os.

Lattice parameters (Å, degrees): 2.9961 2.9961 7.7770 90.00 90.00 90.00
With the nearest neighbours (Å) after each atom.
Space group P4mm (No. 99)
Asymmetric unit:
1 La 0.0000 0.0000 0.0000 x1  4 La 3.00, 4 Os 3.20, 4 Mn 3.31
2 Mn 0.0000 0.0000 0.5210 x1  4 Os 2.50, 4 Mn 2.60
3 Mn 0.5000 0.5000 0.3274 x1  4 Mn 2.60, 1 Os 2.84
4 Os 0.5000 0.5000 0.6923 x1  4 Mn 2.50

Properties
As for the calculated formation energy: 308.8 meV/atom. For the distance to the lowest polymorph of the same formula, the calculation gives 165.0 meV per atom.

=====

# 4
DFT (PBE-GGA) results for a relaxed structure of LaMn2Os.

Lattice parameters (Å, degrees): 4.6659 4.6659 3.0904 90.00 90.00 90.00
With the nearest neighbours (Å) after each atom.
Space group P4/mmm (No. 123)
Asymmetric unit:
1 La 0.0000 0.0000 0.0000 x1  8 Mn 2.80, 2 La 3.09
2 Mn 0.0000 0.5000 0.5000 x2  4 Os 2.80, 4 La 2.80, 2 Mn 3.09
3 Os 0.5000 0.5000 0.0000 x1  8 Mn 2.80, 2 Os 3.09

Properties
As for the calculated formation energy: 523.3 meV/atom. For the distance to the lowest polymorph of the same formula, the calculation gives 379.5 meV per atom.

=====

# 5
DFT (PBE-GGA) results for a relaxed structure of LaMn2Os.

Lattice parameters (Å, degrees): 4.5675 4.5675 16.5006 90.00 90.00 90.00
With the nearest neighbours (Å) after each atom.
Space group I4_1/amd (No. 141, origin choice 2)
Asymmetric unit:
1 La 0.0000 0.2500 0.3750 x4  4 Os 3.23, 8 Mn 3.28
2 Mn 0.0000 0.0000 0.0000 x8  2 Mn 2.28, 2 Os 2.36
3 Os 0.0000 0.2500 0.8750 x4  4 Mn 2.36

Properties
As for the calculated formation energy: 613.1 meV/atom. For the distance to the lowest polymorph of the same formula, the calculation gives 469.3 meV per atom.

=====

# 6
DFT (PBE-GGA) results for a relaxed structure of LaMn3Os.

Lattice parameters (Å, degrees): 4.7695 4.7695 4.7695 90.00 90.00 90.00
With the nearest neighbours (Å) after each atom.
Space group Pm-3m (No. 221)
Asymmetric unit:
1 La 0.0000 0.0000 0.0000 x1  12 Mn 3.37
2 Mn 0.0000 0.5000 0.5000 x3  2 Os 2.38
3 Os 0.5000 0.5000 0.5000 x1  6 Mn 2.38

Properties
As for the calculated formation energy: 618.0 meV/atom. For the distance to the lowest polymorph of the same formula, the calculation gives 0.0 meV per atom.

=====

# 7
DFT (PBE-GGA) results for a relaxed structure of LaMnOs.

Lattice parameters (Å, degrees): 6.5165 6.5165 6.5165 90.00 90.00 90.00
With the nearest neighbours (Å) after each atom.
Space group F-43m (No. 216)
Asymmetric unit:
1 La 0.0000 0.0000 0.0000 x4  4 Os 2.82
2 Mn 0.0000 0.0000 0.5000 x4  4 Os 2.82
3 Os 0.2500 0.2500 0.7500 x4  4 Mn 2.82, 4 La 2.82

Properties
As for the calculated formation energy: 443.4 meV/atom. For the distance to the lowest polymorph of the same formula, the calculation gives 371.6 meV per atom.

=====

# 8
DFT (PBE-GGA) results for a relaxed structure of LaMn2Os.

Lattice parameters (Å, degrees): 6.3285 6.3285 6.3285 90.00 90.00 90.00
With the nearest neighbours (Å) after each atom.
Space group Fm-3m (No. 225)
Asymmetric unit:
1 La 0.0000 0.0000 0.0000 x4  8 Mn 2.74
2 Mn 0.2500 0.2500 0.2500 x8  4 La 2.74, 4 Os 2.74
3 Os 0.0000 0.0000 0.5000 x4  8 Mn 2.74

Properties
As for the calculated formation energy: 685.1 meV/atom. For the distance to the lowest polymorph of the same formula, the calculation gives 541.4 meV per atom.

=====

# 9
DFT (PBE-GGA) results for a relaxed structure of LaMn2Os.

Lattice parameters (Å, degrees): 2.9427 3.9297 6.6879 90.00 102.62 90.00
With the nearest neighbours (Å) after each atom.
Space group Pm (No. 6)
Asymmetric unit:
1 La 0.0000 0.0000 0.0000 x1  2 La 2.94, 5 Mn 3.03-3.29, 2 Os 3.29
2 Mn 0.6698 0.5000 0.3353 x1  2 Mn 2.36, 2 Os 2.59-2.61
3 Mn 0.7595 0.0000 0.5358 x1  2 Mn 2.36, 4 Os 2.59-2.60
4 Os 0.3271 0.5000 0.6636 x1  6 Mn 2.59-2.61

Properties
As for the calculated formation energy: 409.9 meV/atom. For the distance to the lowest polymorph of the same formula, the calculation gives 266.1 meV per atom.

=====

# 10
DFT (PBE-GGA) results for a relaxed structure of La2MnOs2.

Lattice parameters (Å, degrees): 6.5002 6.5002 4.9268 90.00 90.00 90.00
With the nearest neighbours (Å) after each atom.
Space group P4/mbm (No. 127)
Asymmetric unit:
1 La 0.1827 0.3173 0.0000 x4  6 Os 2.95-3.25
2 Mn 0.0000 0.0000 0.5000 x2  4 Os 2.51
3 Os 0.1399 0.6399 0.5000 x4  2 Mn 2.51, 1 Os 2.57

Properties
As for the calculated formation energy: 235.8 meV/atom.

=====

# 11
DFT (PBE-GGA) results for a relaxed structure of LaMn3Os.

Lattice parameters (Å, degrees): 4.4966 4.4966 4.4966 90.00 90.00 90.00
With the nearest neighbours (Å) after each atom.
Space group Pm-3m (No. 221)
Asymmetric unit:
1 La 0.0000 0.0000 0.0000 x1  6 Mn 2.25
2 Mn 0.0000 0.0000 0.5000 x3  2 La 2.25
3 Os 0.5000 0.5000 0.5000 x1  12 Mn 3.18

Properties
As for the calculated formation energy: 2158.6 meV/atom. For the distance to the lowest polymorph of the same formula, the calculation gives 1540.6 meV per atom.

=====

# 12
DFT (PBE-GGA) results for a relaxed structure of LaMnP2Os.

Lattice parameters (Å, degrees): 4.0027 4.0027 10.7291 90.00 90.00 90.00
With the nearest neighbours (Å) after each atom.
Space group I-4m2 (No. 119)
Asymmetric unit:
1 La 0.0000 0.0000 0.0000 x2  8 P 3.23, 4 Mn 3.35, 4 Os 3.35
2 Mn 0.0000 0.5000 0.2500 x2  4 P 2.30
3 P 0.0000 0.0000 0.3548 x4  2 Mn 2.30, 2 Os 2.30
4 Os 0.0000 0.5000 0.7500 x2  4 P 2.30

Properties
As for the calculated formation energy: -837.7 meV/atom.

=====

# 13
DFT (PBE-GGA) results for a relaxed structure of LaMnOsPt2.

Lattice parameters (Å, degrees): 4.8692 4.8692 5.3255 90.00 90.00 90.00
With the nearest neighbours (Å) after each atom.
Space group P4/mmm (No. 123)
Asymmetric unit:
1 La 0.0000 0.0000 0.0000 x1  2 Os 2.66
2 Mn 0.5000 0.5000 0.0000 x1  4 La 3.44, 8 Pt 3.61
3 Os 0.0000 0.0000 0.5000 x1  4 Pt 2.43, 2 La 2.66
4 Pt 0.0000 0.5000 0.5000 x2  2 Os 2.43

Properties
As for the calculated formation energy: 1268.0 meV/atom.

=====

# 14
DFT (PBE-GGA) results for a relaxed structure of La2MnOsS.

Lattice parameters (Å, degrees): 5.6141 5.6141 4.5118 90.00 90.00 90.00
With the nearest neighbours (Å) after each atom.
Space group P4/mmm (No. 123)
Asymmetric unit:
1 La 0.0000 0.5000 0.0000 x2  2 Os 2.81
2 Mn 0.0000 0.0000 0.5000 x1  2 Os 2.26
3 Os 0.0000 0.0000 0.0000 x1  2 Mn 2.26
4 S 0.5000 0.5000 0.5000 x1  8 La 3.60, 4 Mn 3.97

Properties
As for the energy relative to the elements, uncorrected: -0.164 eV per atom.

=====

# 15
DFT (PBE-GGA) results for a relaxed structure of LaTaMnOs2.

Lattice parameters (Å, degrees): 4.2469 4.2469 11.0118 90.00 90.00 90.00
With the nearest neighbours (Å) after each atom.
Space group I-4m2 (No. 119)
Asymmetric unit:
1 La 0.0000 0.0000 0.0000 x2  8 Os 3.27, 4 Ta 3.48, 4 Mn 3.48
2 Ta 0.0000 0.5000 0.7500 x2  4 Os 2.58
3 Mn 0.0000 0.5000 0.2500 x2  4 Os 2.58
4 Os 0.0000 0.0000 0.3826 x4  2 Ta 2.58, 2 Mn 2.58, 1 Os 2.58

Properties
As for the calculated formation energy: -40.6 meV/atom.

=====

Total moment
In order: 8.23, 1.26, 4.64, 5.80, 9.47, 9.89, 16.09, 0.00, 0.37, 0.01, 8.12, 0.19, 0.00, 3.18, 5.12
Unit: μB per cell